An optimized crystal structure of Sr3Tl5Pd6. Source: Alexandria, functional PBE.

Results
space-group type: Immm (71)
total energy: -0.286 Ry per atom
magnetization: 0.0 μB/f.u.
formation enthalpy at 0 K: -456 meV per atom
calculated density: 9566 kg/m³

Cell: 8.905 8.905 8.905 Å, 149.08 110.36 78.13°
Fractional positions:
Sr: 0.000 0.000 0.000
Sr: 0.319 0.319 0.000
Sr: 0.681 0.681 0.000
Tl: 0.021 0.679 0.342
Tl: 0.337 0.679 0.658
Tl: 0.500 0.000 0.500
Tl: 0.663 0.321 0.342
Tl: 0.979 0.321 0.658
Pd: 0.161 0.888 0.273
Pd: 0.304 0.500 0.804
Pd: 0.386 0.112 0.273
Pd: 0.614 0.888 0.727
Pd: 0.696 0.500 0.196
Pd: 0.839 0.112 0.727

=====

An optimized crystal structure of Sr2Tl2Pd3. Source: Alexandria, functional PBE.

Results
space-group type: C2/m (12)
total energy: -0.283 Ry per atom
magnetization: 0.0 μB/f.u.
formation enthalpy at 0 K: -462 meV per atom
calculated density: 8530 kg/m³

Cell: 12.390 4.193 7.421 Å, 90.00 114.19 90.00°
Fractional positions:
Sr: 0.114 0.000 0.274
Sr: 0.386 0.500 0.726
Sr: 0.614 0.500 0.274
Sr: 0.886 0.000 0.726
Tl: 0.173 0.000 0.765
Tl: 0.327 0.500 0.235
Tl: 0.673 0.500 0.765
Tl: 0.827 0.000 0.235
Pd: 0.000 0.500 0.500
Pd: 0.090 0.500 0.931
Pd: 0.410 0.000 0.069
Pd: 0.500 0.000 0.500
Pd: 0.590 0.000 0.931
Pd: 0.910 0.500 0.069

=====

An optimized crystal structure of Sr2Tl2Pd3. Source: Alexandria, functional PBE.

Results
space-group type: C2/m (12)
total energy: -0.279 Ry per atom
magnetization: 0.0 μB/f.u.
formation enthalpy at 0 K: -408 meV per atom
calculated density: 8499 kg/m³

Cell: 8.783 5.544 8.137 Å, 90.00 117.03 90.00°
Fractional positions:
Sr: 0.085 0.000 0.330
Sr: 0.415 0.500 0.670
Sr: 0.585 0.500 0.330
Sr: 0.915 0.000 0.670
Tl: 0.169 0.500 0.888
Tl: 0.331 0.000 0.112
Tl: 0.669 0.000 0.888
Tl: 0.831 0.500 0.112
Pd: 0.000 0.500 0.500
Pd: 0.188 0.500 0.239
Pd: 0.312 0.000 0.761
Pd: 0.500 0.000 0.500
Pd: 0.688 0.000 0.239
Pd: 0.812 0.500 0.761

=====

An optimized crystal structure of SrTl4Pd6. Source: Alexandria, functional PBE.

Results
space-group type: I-42m (121)
total energy: -0.298 Ry per atom
magnetization: 0.0 μB/f.u.
formation enthalpy at 0 K: -207 meV per atom
calculated density: 10255 kg/m³

Cell: 7.190 7.190 7.190 Å, 122.97 122.97 84.93°
Fractional positions:
Sr: 0.000 0.000 0.000
Tl: 0.098 0.098 0.574
Tl: 0.475 0.902 0.000
Tl: 0.525 0.525 0.426
Tl: 0.902 0.475 0.000
Pd: 0.000 0.500 0.500
Pd: 0.255 0.575 0.000
Pd: 0.425 0.425 0.680
Pd: 0.500 0.000 0.500
Pd: 0.575 0.255 0.000
Pd: 0.745 0.745 0.320

=====

An optimized crystal structure of Sr6Tl2Pd. Source: Alexandria, functional PBE.

Results
space-group type: Immm (71)
total energy: -0.181 Ry per atom
magnetization: 0.0 μB/f.u.
formation enthalpy at 0 K: -241 meV per atom
calculated density: 4891 kg/m³

Cell: 9.723 9.723 9.723 Å, 110.93 110.37 107.14°
Fractional positions:
Sr: 0.066 0.838 0.227
Sr: 0.199 0.483 0.283
Sr: 0.199 0.916 0.717
Sr: 0.276 0.335 0.612
Sr: 0.276 0.665 0.941
Sr: 0.389 0.162 0.227
Sr: 0.611 0.838 0.773
Sr: 0.724 0.335 0.059
Sr: 0.724 0.665 0.388
Sr: 0.801 0.084 0.283
Sr: 0.801 0.517 0.717
Sr: 0.934 0.162 0.773
Tl: 0.358 0.358 0.000
Tl: 0.500 0.136 0.636
Tl: 0.500 0.864 0.364
Tl: 0.642 0.642 0.000
Pd: 0.000 0.000 0.000
Pd: 0.000 0.500 0.500

=====

An optimized crystal structure of SrTlPd6. Source: Alexandria, functional PBE.

Results
space-group type: Pm-3 (200)
total energy: -0.330 Ry per atom
magnetization: 0.0 μB/f.u.
formation enthalpy at 0 K: -91 meV per atom
calculated density: 10389 kg/m³

Cell: 5.298 5.298 5.298 Å, 90.00 90.00 90.00°
Fractional positions:
Sr: 0.000 0.000 0.000
Tl: 0.500 0.500 0.500
Pd: 0.000 0.254 0.500
Pd: 0.000 0.746 0.500
Pd: 0.254 0.500 0.000
Pd: 0.500 0.000 0.254
Pd: 0.500 0.000 0.746
Pd: 0.746 0.500 0.000